Record 1
Entry from Alexandria via LeMat-Bulk: crystalline TaFe2 at its relaxed geometry (PBE).

Structure (extended XYZ):
```
3
Lattice="0.000 2.871 2.871 2.871 0.000 2.871 2.871 2.871 0.000" Properties=species:S:1:pos:R:3 pbc="T T T"
Ta 0.000 0.000 0.000
Fe 1.435 1.435 1.435
Fe 4.306 4.306 4.306
```

Properties
E_form = 0.74 eV/atom
volume = 15.78 Å³ per atom
DOS at the Fermi energy = 1.662 states/eV/atom
spin magnetization = 2.3 μB/f.u.
SG = Fm-3m, No. 225

Record 2
Entry from Alexandria via LeMat-Bulk: crystalline Ta4Fe5 at its relaxed geometry (PBE).

Structure (extended XYZ):
```
9
Lattice="-4.011 4.011 1.943 4.011 -4.011 1.943 4.011 4.011 -1.943" Properties=species:S:1:pos:R:3 pbc="T T T"
Ta 2.443 0.000 0.000
Ta 5.579 0.000 0.000
Ta 0.000 2.443 0.000
Ta 0.000 5.579 0.000
Fe 0.000 0.000 0.000
Fe 2.730 2.730 0.000
Fe 1.281 -1.281 1.943
Fe -1.281 1.281 1.943
Fe 1.281 1.281 1.943
```

Properties
E_form = -0.05 eV/atom
volume = 13.90 Å³ per atom
DOS at the Fermi energy = 0.966 states/eV/atom
spin magnetization = 2.4 μB/f.u.
SG = I4/mmm, No. 139
polymorph energy (0 for the lowest one) = 0 meV per atom

Record 3
Entry from Alexandria via LeMat-Bulk: crystalline Ta2Fe3 at its relaxed geometry (PBE).

Structure (extended XYZ):
```
5
Lattice="1.438 0.830 10.189 -1.438 0.830 10.189 0.000 -1.660 10.189" Properties=species:S:1:pos:R:3 pbc="T T T"
Ta 0.000 0.000 3.037
Ta 0.000 0.000 27.532
Fe 0.000 0.000 9.275
Fe 0.000 0.000 15.284
Fe 0.000 0.000 21.294
```

Properties
E_form = 0.25 eV/atom
volume = 14.60 Å³ per atom
DOS at the Fermi energy = 1.036 states/eV/atom
spin magnetization = 5.5 μB/f.u.
SG = R-3m, No. 166
polymorph energy (0 for the lowest one) = 294 meV per atom

Record 4
Entry from Alexandria via LeMat-Bulk: crystalline TaFe at its relaxed geometry (PBE).

Structure (extended XYZ):
```
8
Lattice="0.000 3.936 4.798 3.169 0.000 4.798 3.169 3.936 0.000" Properties=species:S:1:pos:R:3 pbc="T T T"
Ta 2.377 0.558 3.598
Ta 3.961 2.526 5.997
Ta 2.377 5.346 3.598
Ta 3.961 7.315 5.997
Fe 3.554 2.952 3.598
Fe 5.138 4.921 5.997
Fe 1.200 2.952 3.598
Fe 2.785 4.921 5.997
```

Properties
E_form = 0.19 eV/atom
volume = 14.96 Å³ per atom
DOS at the Fermi energy = 0.744 states/eV/atom
spin magnetization = 0.0 μB/f.u.
SG = Fddd, No. 70